Record 1
{"formula": "Ti4In3Sn", "functional": "GGA-PBE", "state": "relaxed", "lattice": [[5.993, 0.000, 0.000], [0.000, 6.171, 0.000], [0.000, 0.000, 8.540]], "species": ["Ti", "Ti", "Ti", "Ti", "Ti", "Ti", "Ti", "Ti", "In", "In", "In", "In", "In", "In", "Sn", "Sn"], "fractional_positions": [[0.065, 0.262, 0.250], [0.565, 0.738, 0.750], [0.565, 0.738, 0.250], [0.814, 0.000, 0.500], [0.815, 0.500, 0.500], [0.065, 0.262, 0.750], [0.314, 0.000, 0.000], [0.315, 0.500, 0.000], [0.314, 0.000, 0.500], [0.564, 0.243, 0.250], [0.064, 0.757, 0.250], [0.564, 0.243, 0.750], [0.814, 0.000, 0.000], [0.064, 0.757, 0.750], [0.814, 0.500, 0.000], [0.314, 0.500, 0.500]], "vol_a3_per_atom": 19.738, "space_group": "Pmna (53)", "total_energy_ev_per_atom": -5.5337}

Record 2
{"formula": "YMn2Br", "functional": "GGA-PBE", "state": "relaxed", "lattice": [[-0.462, 9.006, 1.055], [-3.453, 8.374, -0.618], [-3.273, 7.978, 2.840]], "species": ["Mn", "Mn", "Y", "Br"], "fractional_positions": [[0.494, 0.494, 0.494], [0.006, 0.006, 0.006], [0.250, 0.250, 0.250], [0.750, 0.750, 0.750]], "vol_a3_per_atom": 23.281, "space_group": "R-3m (166)", "e_form_raw_mev_per_atom": 246, "polymorph_energy_ev_per_atom": 0.339}

Record 3
{"formula": "CaZr2Ti", "functional": "GGA-PBE", "state": "relaxed", "lattice": [[-1.904, 0.108, 4.757], [1.396, 3.721, 3.235], [-3.361, 3.631, 1.333]], "species": ["Zr", "Zr", "Ti", "Ca"], "fractional_positions": [[0.250, 0.250, 0.250], [0.750, 0.750, 0.750], [0.500, 0.500, 0.500], [0.000, 0.000, 0.000]], "vol_a3_per_atom": 23.791, "space_group": "Fm-3m (225)", "polymorph_energy_ev_per_atom": 0.102}

Record 4
{"formula": "CeSmGdDy", "functional": "GGA-PBE", "state": "relaxed", "lattice": [[-5.522, -0.920, -1.078], [-1.805, -0.522, -5.383], [-1.716, -5.075, -1.951]], "species": ["Ce", "Sm", "Gd", "Dy"], "fractional_positions": [[0.000, 0.000, 0.000], [0.250, 0.250, 0.250], [0.750, 0.750, 0.750], [0.500, 0.500, 0.500]], "vol_a3_per_atom": 32.761, "space_group": "F-43m (216)", "total_energy_ev_per_atom": -7.1606}

Record 5
{"formula": "MgHgMo", "functional": "GGA-PBE", "state": "relaxed", "lattice": [[4.552, 0.000, 0.000], [2.276, 3.942, 0.000], [2.276, 1.314, 3.717]], "species": ["Hg", "Mg", "Mo"], "fractional_positions": [[0.750, 0.750, 0.750], [0.000, 0.000, 0.000], [0.500, 0.500, 0.500]], "vol_a3_per_atom": 22.232, "space_group": "F-43m (216)", "polymorph_energy_ev_per_atom": 0.506}

Record 6
{"formula": "Ca3Ag2Pb4", "functional": "GGA-PBE", "state": "relaxed", "lattice": [[-0.900, 4.739, 0.186], [-5.766, 1.281, 2.115], [-1.427, 1.786, 10.224]], "species": ["Ca", "Ca", "Ca", "Pb", "Pb", "Pb", "Pb", "Ag", "Ag"], "fractional_positions": [[0.378, 0.534, 0.711], [0.000, 0.000, 0.000], [0.622, 0.466, 0.289], [0.073, 0.220, 0.635], [0.927, 0.780, 0.365], [0.302, 0.308, 0.087], [0.698, 0.692, 0.913], [0.721, 0.968, 0.591], [0.279, 0.032, 0.409]], "vol_a3_per_atom": 28.345, "space_group": "C2/m (12)", "total_energy_ev_per_atom": -3.2949}

- Which formula does entry 6 have?
  Ca3Ag2Pb4

- Number 2 is which compound?
  YMn2Br